[1]
VASP calculation (PBE-GGA) on a relaxed ScCoSn crystal.

```
12
Lattice="6.411 0.000 0.000 0.000 4.369 0.000 0.000 0.000 7.627" Properties=species:S:1:pos:R:3 pbc="T T T"
Sc 0.101 1.092 1.502
Sc 3.104 3.277 5.315
Sc 3.307 1.092 2.312
Sc 6.310 3.277 6.125
Co 1.553 3.277 3.102
Co 1.653 1.092 6.916
Co 4.758 3.277 0.711
Co 4.858 1.092 4.525
Sn 1.163 1.092 4.407
Sn 2.043 3.277 0.593
Sn 4.368 1.092 7.034
Sn 5.248 3.277 3.220
```


[2]
VASP calculation (PBE-GGA) on a relaxed ScCo2Sn crystal.

```
4
Lattice="3.180 0.000 0.000 0.000 3.180 0.000 0.000 0.000 6.049" Properties=species:S:1:pos:R:3 pbc="T T T"
Sc 0.000 0.000 0.000
Co 1.590 1.590 1.551
Co 1.590 1.590 4.498
Sn 0.000 0.000 3.025
```


[3]
VASP calculation (PBE-GGA) on a relaxed Sc2CoSn2 crystal.

```
10
Lattice="-2.217 2.217 10.341 2.217 -2.217 10.341 2.217 2.217 -10.341" Properties=species:S:1:pos:R:3 pbc="T T T"
Sc 2.217 1.109 -4.019
Sc 0.000 1.109 1.151
Sc 2.217 1.109 9.190
Sc 0.000 1.109 14.360
Co 2.217 -1.109 7.756
Co 0.000 3.326 2.585
Sn 2.217 1.109 -1.113
Sn 0.000 1.109 4.058
Sn 2.217 1.109 6.283
Sn 0.000 1.109 11.454
```


[4]
VASP calculation (PBE-GGA) on a relaxed ScCo2Sn crystal.

```
4
Lattice="4.309 0.000 0.000 0.000 4.309 0.000 0.000 0.000 3.247" Properties=species:S:1:pos:R:3 pbc="T T T"
Sc 0.000 0.000 0.000
Co 0.000 2.154 1.624
Co 2.154 0.000 1.624
Sn 2.154 2.154 0.000
```


Ρ (Mg/m³)
6.92, 7.64, 6.31, 7.75
ΔE_f (eV/atom)
-0.48, -0.22, -0.51, -0.30
Total moment (μB/atom)
0.00, 0.23, 0.11, 0.21